Entry 1:
Computed, not measured: a geometry-optimized Mg2H4Ir structure at the PBE level of DFT.

Cell and atoms, written as POSCAR:
```
Mg2H4Ir
1.0
-0.4798 2.6502 1.6819
-6.3399 -0.1786 -1.5244
-0.6583 -2.0039 2.9687
Mg H Ir
2 4 1
Direct
0.2470 0.0352 0.7868 Mg
0.2470 0.5849 0.7871 Mg
0.7457 0.5501 0.2892 H
0.7455 0.0694 0.2891 H
0.7463 0.8098 0.7893 H
0.2436 0.3100 0.7903 H
0.7460 0.8098 0.2885 Ir
```

VASP energy in eV/atom: -3.940
Relative energy among the computed polymorphs in meV per atom: 78.4

***

Entry 2:
Computed, not measured: a geometry-optimized MgMn2Ag structure at the PBE level of DFT.

Cell and atoms, written as POSCAR:
```
MgMn2Ag
1.0
-3.8561 2.9879 -0.8583
-1.5303 -4.4005 1.6815
0.1577 0.9858 2.7235
Mn Ag Mg
2 1 1
Direct
0.0000 0.0000 0.0000 Mn
0.5000 0.5000 0.0000 Mn
0.5000 0.0000 0.5000 Ag
0.0000 0.5000 0.5000 Mg
```

VASP energy in eV/atom: -5.384

***

Entry 3:
Computed, not measured: a geometry-optimized NbPb3I structure at the PBE level of DFT.

Cell and atoms, written as POSCAR:
```
NbPb3I
1.0
-1.7249 -5.6536 -0.1387
4.4157 -1.2558 -3.7260
3.5333 -1.1906 4.5887
Nb Pb I
1 3 1
Direct
0.5000 0.5000 0.5000 Nb
0.0000 0.5000 0.0000 Pb
0.5000 0.0000 0.0000 Pb
0.0000 0.0000 0.5000 Pb
0.0000 0.0000 0.0000 I
```

VASP energy in eV/atom: -3.137
E_form (uncorrected) in eV/atom: 1.41
Relative energy among the computed polymorphs in meV per atom: 1130.8

***

Entry 4:
Computed, not measured: a geometry-optimized Li2CdSe2 structure at the PBE level of DFT.

Cell and atoms, written as POSCAR:
```
Li2CdSe2
1.0
-5.6074 -4.5149 -1.8756
3.9324 -5.8609 2.3518
-1.3183 0.3545 3.0879
Se Li Cd
4 4 2
Direct
0.6833 0.8167 0.5000 Se
0.1833 0.6833 0.5000 Se
0.8167 0.3167 0.5000 Se
0.3167 0.1833 0.5000 Se
0.8760 0.6240 0.0000 Li
0.1240 0.3760 0.0000 Li
0.3760 0.8760 0.0000 Li
0.6240 0.1240 0.0000 Li
0.5000 0.5000 0.0000 Cd
0.0000 0.0000 0.0000 Cd
```

VASP energy in eV/atom: -2.951
E_form (uncorrected) in eV/atom: -0.61
Relative energy among the computed polymorphs in meV per atom: 122.2

***

Entry 5:
Computed, not measured: a geometry-optimized Ca5MgO5 structure at the PBE level of DFT.

Cell and atoms, written as POSCAR:
```
Ca5MgO5
1.0
4.8200 0.0000 0.0000
-2.4100 5.3525 -0.0609
0.0000 -2.0738 6.4693
Ca Mg O
5 1 5
Direct
0.3300 0.6599 0.6770 Ca
0.6677 0.3353 0.8422 Ca
0.0000 0.0000 0.5000 Ca
0.3323 0.6647 0.1578 Ca
0.6700 0.3401 0.3230 Ca
0.0000 0.0000 0.0000 Mg
0.1571 0.3143 0.8421 O
0.8402 0.6804 0.6842 O
0.1598 0.3196 0.3158 O
0.5000 0.0000 0.0000 O
0.8429 0.6857 0.1579 O
```

VASP energy in eV/atom: -5.817
E_form (uncorrected) in eV/atom: -2.51

***

Entry 6:
Computed, not measured: a geometry-optimized CuAsSeCl structure at the PBE level of DFT.

Cell and atoms, written as POSCAR:
```
CuAsSeCl
1.0
-2.5667 -0.8445 2.4092
-1.9204 -2.5981 -1.6333
5.6089 -4.5227 2.8585
Se As Cl Cu
1 1 1 1
Direct
0.5829 0.5829 0.0588 Se
0.2185 0.2185 0.2045 As
0.9007 0.9007 0.6121 Cl
0.2550 0.2550 0.5085 Cu
```

VASP energy in eV/atom: -3.680
E_form (uncorrected) in eV/atom: -0.16

***

Entry 7:
Computed, not measured: a geometry-optimized CaZnFe2I structure at the PBE level of DFT.

Cell and atoms, written as POSCAR:
```
CaZnFe2I
1.0
-2.1933 3.8492 1.4271
-5.1271 -2.9637 0.1141
0.7882 -1.1931 4.4293
Fe Zn I Ca
2 1 1 1
Direct
0.0000 0.0000 0.5000 Fe
0.5000 0.0000 0.0000 Fe
0.0000 0.0000 0.0000 Zn
0.0000 0.5000 0.0000 I
0.5000 0.5000 0.5000 Ca
```

VASP energy in eV/atom: -3.682
E_form (uncorrected) in eV/atom: 0.67

***

Entry 8:
Computed, not measured: a geometry-optimized CuSeF structure at the PBE level of DFT.

Cell and atoms, written as POSCAR:
```
CuSeF
1.0
2.9086 0.0000 0.0000
0.0000 4.0501 0.0000
0.0000 -2.0251 3.5075
Cu F Se
1 1 1
Direct
0.9568 0.0000 0.0000 Cu
0.7679 0.3333 0.6667 F
0.2753 0.6667 0.3333 Se
```

VASP energy in eV/atom: -3.507
E_form (uncorrected) in eV/atom: -0.36
Relative energy among the computed polymorphs in meV per atom: 447.8

***

Entry 9:
Computed, not measured: a geometry-optimized NpTi2Cl8 structure at the PBE level of DFT.

Cell and atoms, written as POSCAR:
```
NpTi2Cl8
1.0
-4.4905 -0.1106 -4.4942
-1.2115 -7.6894 4.1977
-4.4132 2.7884 7.1388
Cl Np Ti
8 1 2
Direct
0.4994 0.3588 0.3588 Cl
0.3073 0.2637 0.9393 Cl
0.1509 0.8279 0.8279 Cl
0.6927 0.0607 0.7363 Cl
0.8491 0.1721 0.1721 Cl
0.3073 0.9393 0.2637 Cl
0.6927 0.7363 0.0607 Cl
0.5006 0.6412 0.6412 Cl
0.0000 0.0000 0.0000 Np
0.5041 0.8051 0.8051 Ti
0.4959 0.1949 0.1949 Ti
```

VASP energy in eV/atom: -5.431
E_form (uncorrected) in eV/atom: -1.48

***

Entry 10:
Computed, not measured: a geometry-optimized AcTb2Pm6Y structure at the PBE level of DFT.

Cell and atoms, written as POSCAR:
```
AcTb2Pm6Y
1.0
-8.5402 -4.5977 1.2409
4.8189 -7.5866 1.1474
-1.2746 5.3631 7.1907
Tb Pm Y Ac
4 12 2 2
Direct
0.4540 0.7972 0.6859 Tb
0.9540 0.6859 0.7972 Tb
0.5460 0.2028 0.3141 Tb
0.0460 0.3141 0.2028 Tb
0.9455 0.8745 0.2490 Pm
0.6831 0.0143 0.5584 Pm
0.8169 0.4416 0.9857 Pm
0.3809 0.5061 0.2896 Pm
0.3169 0.9857 0.4416 Pm
0.8809 0.2896 0.5061 Pm
0.1191 0.7104 0.4939 Pm
0.6191 0.4939 0.7104 Pm
0.5545 0.7510 0.1255 Pm
0.0545 0.1255 0.7510 Pm
0.4455 0.2490 0.8745 Pm
0.1831 0.5584 0.0143 Pm
0.2500 0.4111 0.5889 Y
0.7500 0.5889 0.4111 Y
0.7500 0.0262 0.9738 Ac
0.2500 0.9738 0.0262 Ac
```

VASP energy in eV/atom: -4.717

***

Entry 11:
Computed, not measured: a geometry-optimized NpAlW structure at the PBE level of DFT.

Cell and atoms, written as POSCAR:
```
NpAlW
1.0
-2.0089 -0.7710 1.5816
0.7932 -2.5396 -0.2306
4.8665 2.4587 5.1256
Np Al W
1 1 1
Direct
0.3364 0.3364 0.6729 Np
0.0092 0.0092 0.0185 Al
0.6543 0.6543 0.3086 W
```

VASP energy in eV/atom: -9.673
Relative energy among the computed polymorphs in meV per atom: 0.0

***

Entry 12:
Computed, not measured: a geometry-optimized RbSm2Tm structure at the PBE level of DFT.

Cell and atoms, written as POSCAR:
```
RbSm2Tm
1.0
3.6480 0.0000 0.0000
1.8240 3.1592 0.0000
1.8240 1.0531 13.3697
Tm Sm Rb
1 2 1
Direct
0.5000 0.5000 0.5000 Tm
0.9031 0.9031 0.2906 Sm
0.0969 0.0969 0.7094 Sm
0.0000 0.0000 0.0000 Rb
```

VASP energy in eV/atom: -3.453

***

Entry 13:
Computed, not measured: a geometry-optimized InSiPt4 structure at the PBE level of DFT.

Cell and atoms, written as POSCAR:
```
InSiPt4
1.0
0.0000 3.7703 3.7703
3.7703 0.0000 3.7703
3.7703 3.7703 0.0000
In Pt Si
1 4 1
Direct
0.0000 0.0000 0.0000 In
0.6249 0.6249 0.6249 Pt
0.6249 0.1252 0.6249 Pt
0.1252 0.6249 0.6249 Pt
0.6249 0.6249 0.1252 Pt
0.2500 0.2500 0.2500 Si
```

VASP energy in eV/atom: -5.385
E_form (uncorrected) in eV/atom: 0.00